Entry 1:
VASP calculation (PBE-GGA) on crystalline Sm3Er6Tm2Mg at its relaxed geometry.

Cell and atoms, written as extended XYZ:
```
12
Lattice="6.1065 -0.0006 0.0120 -3.0522 5.2889 0.0120 -1.0476 -1.8140 11.4080" Properties=species:S:1:pos:R:3 pbc="T T T"
Er -0.0172 3.4916 8.6315
Er -1.0263 1.7443 2.8006
Er 2.0238 -0.0172 2.8006
Er 2.0259 3.5078 2.8189
Er -0.0193 -0.0334 8.6132
Er 3.0329 1.7301 8.6315
Mg 0.0000 0.0000 0.0000
Tm 3.0513 1.7639 0.0120
Tm 0.0029 3.5245 0.0120
Sm -2.0592 3.5059 5.7160
Sm 1.0033 1.7372 5.7160
Sm 4.0658 -0.0315 5.7160
```

* energy of formation from the pure elements: 0.036 eV/atom
* VASP energy: -4.304 eV per atom

Entry 2:
VASP calculation (PBE-GGA) on crystalline Sm2YEr4Mg at its relaxed geometry.

Cell and atoms, written as extended XYZ:
```
8
Lattice="4.9470 0.0000 0.0000 0.0000 4.8426 1.0610 0.0001 2.7013 10.8749" Properties=species:S:1:pos:R:3 pbc="T T T"
Er 0.0001 5.6543 8.9675
Er 2.4735 4.3093 3.5001
Er 4.9470 1.8896 2.9684
Er 2.4735 3.2347 8.4358
Sm 2.4735 1.3506 5.4375
Sm 0.0001 2.7013 10.8749
Mg 2.4735 2.4213 0.5305
Y 0.0001 3.7720 5.9680
```

* energy of formation from the pure elements: 0.031 eV/atom
* VASP energy: -4.437 eV per atom

Entry 3:
VASP calculation (PBE-GGA) on crystalline Sm6Y2Er3Mg at its relaxed geometry.

Cell and atoms, written as extended XYZ:
```
12
Lattice="-3.9428 2.9333 -3.7453 -1.0276 -5.8852 1.5766 -4.4181 4.5057 9.8863" Properties=species:S:1:pos:R:3 pbc="T T T"
Sm -7.5287 2.6253 4.8986
Sm -6.5604 -0.3036 6.6662
Sm -4.8432 -1.0822 0.8598
Sm -1.8598 -1.0715 2.8189
Sm -4.5453 2.6360 6.8577
Sm -2.8280 1.8574 1.0514
Mg 0.0000 0.0000 0.0000
Er -5.6667 3.7186 2.0835
Er -4.6942 0.7769 3.8588
Er -3.7218 -2.1648 5.6341
Y -2.9700 -0.0093 -1.9695
Y -2.0003 -2.9426 -0.1993
```

* energy of formation from the pure elements: 0.022 eV/atom
* VASP energy: -4.689 eV per atom

Entry 4:
VASP calculation (PBE-GGA) on crystalline SmYErMg at its relaxed geometry.

Cell and atoms, written as extended XYZ:
```
4
Lattice="5.5275 0.0000 0.0000 2.7637 4.7869 0.0000 2.7637 1.5956 4.5132" Properties=species:S:1:pos:R:3 pbc="T T T"
Sm 2.7637 1.5956 1.1283
Mg 0.0000 0.0000 0.0000
Y 8.2912 4.7869 3.3849
Er 5.5275 3.1913 2.2566
```

* energy of formation from the pure elements: 0.032 eV/atom
* VASP energy: -4.304 eV per atom

Entry 5:
VASP calculation (PBE-GGA) on crystalline SmYErMg at its relaxed geometry.

Cell and atoms, written as extended XYZ:
```
4
Lattice="3.6245 0.0000 0.0000 0.0000 3.6245 0.0000 0.0000 0.0000 9.1248" Properties=species:S:1:pos:R:3 pbc="T T T"
Mg 0.0000 0.0000 5.1904
Y 1.8123 1.8123 7.2941
Sm 0.0000 0.0000 0.6781
Er 1.8123 1.8123 3.1226
```

* energy of formation from the pure elements: -0.031 eV/atom
* VASP energy: -4.367 eV per atom

Entry 6:
VASP calculation (PBE-GGA) on crystalline Sm4YEr2Mg at its relaxed geometry.

Cell and atoms, written as extended XYZ:
```
8
Lattice="5.0324 0.0000 0.0000 0.0001 4.8927 1.1966 0.0001 2.5405 10.8344" Properties=species:S:1:pos:R:3 pbc="T T T"
Sm 2.5163 3.1201 8.4711
Sm 5.0324 1.8689 2.9626
Sm 5.0325 5.5645 9.0682
Sm 2.5163 4.3130 3.5596
Er 5.0324 2.5406 10.8338
Er 2.5163 6.1628 6.6139
Mg 2.5163 2.4464 0.5985
Y 0.0001 3.7165 6.0161
```

* energy of formation from the pure elements: 0.012 eV/atom
* VASP energy: -4.496 eV per atom

Entry 7:
VASP calculation (PBE-GGA) on crystalline Sm3Y6Er2Mg at its relaxed geometry.

Cell and atoms, written as extended XYZ:
```
12
Lattice="6.1758 -0.0026 0.0015 -3.0886 5.3480 0.0015 -1.0400 -1.8007 11.5421" Properties=species:S:1:pos:R:3 pbc="T T T"
Y -1.0313 1.7676 2.8292
Y 0.0008 3.5546 8.7159
Y -0.0076 -0.0132 8.7052
Y 3.0785 1.7771 8.7159
Y 2.0464 -0.0099 2.8292
Y 2.0549 3.5580 2.8399
Er 0.0026 3.5627 0.0015
Er 3.0846 1.7827 0.0015
Sm 4.1213 -0.0167 5.7725
Sm -2.0741 3.5614 5.7725
Sm 1.0236 1.7724 5.7725
Mg 0.0000 0.0000 0.0000
```

* energy of formation from the pure elements: 0.034 eV/atom
* VASP energy: -5.271 eV per atom

Entry 8:
VASP calculation (PBE-GGA) on crystalline Sm6Y3Er2Mg at its relaxed geometry.

Cell and atoms, written as extended XYZ:
```
12
Lattice="6.2004 -0.0026 0.0018 -3.1010 5.3693 0.0018 -1.0424 -1.8049 11.5362" Properties=species:S:1:pos:R:3 pbc="T T T"
Y -2.0752 3.5734 5.7699
Y 1.0285 1.7809 5.7699
Y 4.1322 -0.0116 5.7699
Sm -1.0371 1.7811 2.8460
Sm 2.0617 3.5698 2.8609
Sm 3.0942 1.7806 8.6939
Sm -0.0040 3.5700 8.6939
Sm 2.0611 -0.0082 2.8460
Sm -0.0047 -0.0081 8.6789
Mg 0.0000 0.0000 0.0000
Er 0.0021 3.5772 0.0018
Er 3.0974 1.7895 0.0018
```

* energy of formation from the pure elements: 0.025 eV/atom
* VASP energy: -4.844 eV per atom

Entry 9:
VASP calculation (PBE-GGA) on crystalline SmY2Er2Mg5 at its relaxed geometry.

Cell and atoms, written as extended XYZ:
```
20
Lattice="5.0786 0.0000 0.0000 0.0000 10.6133 0.0000 0.0000 0.0000 10.6133" Properties=species:S:1:pos:R:3 pbc="T T T"
Y 0.0000 8.7215 7.1985
Y 0.0000 3.4148 8.7215
Y 0.0000 1.8918 3.4148
Y 0.0000 7.1985 1.8918
Mg 2.5393 9.8251 2.1004
Mg 2.5393 0.0000 5.3067
Mg 2.5393 2.1004 0.7882
Mg 2.5393 5.3067 0.0000
Mg 2.5393 4.5185 3.2063
Mg 2.5393 8.5129 9.8251
Mg 2.5393 7.4070 4.5185
Mg 2.5393 6.0949 7.4070
Mg 2.5393 0.7882 8.5129
Mg 2.5393 3.2063 6.0949
Er 0.0000 6.5590 9.3609
Er 0.0000 1.2524 6.5590
Er 0.0000 9.3609 4.0543
Er 0.0000 4.0543 1.2524
Sm 0.0000 0.0000 0.0000
Sm 0.0000 5.3067 5.3067
```

* energy of formation from the pure elements: 0.074 eV/atom
* VASP energy: -3.400 eV per atom

Entry 10:
VASP calculation (PBE-GGA) on crystalline Sm2Y2ErMg5 at its relaxed geometry.

Cell and atoms, written as extended XYZ:
```
20
Lattice="5.0749 0.0000 0.0000 0.0000 10.6327 0.0000 0.0000 0.0000 10.6327" Properties=species:S:1:pos:R:3 pbc="T T T"
Y 0.0000 7.1994 1.8831
Y 0.0000 3.4332 8.7496
Y 0.0000 1.8831 3.4332
Y 0.0000 8.7496 7.1994
Mg 2.5375 0.0000 5.3163
Mg 2.5375 5.3163 0.0000
Mg 2.5375 9.9131 2.0682
Mg 2.5375 6.0359 7.3845
Mg 2.5375 3.2482 6.0359
Mg 2.5375 2.0682 0.7196
Mg 2.5375 8.5645 9.9131
Mg 2.5375 4.5967 3.2482
Mg 2.5375 7.3845 4.5967
Mg 2.5375 0.7196 8.5645
Sm 0.0000 9.3400 4.0237
Sm 0.0000 4.0237 1.2927
Sm 0.0000 1.2927 6.6090
Sm 0.0000 6.6090 9.3400
Er 0.0000 5.3163 5.3163
Er 0.0000 0.0000 0.0000
```

* energy of formation from the pure elements: 0.086 eV/atom
* VASP energy: -3.404 eV per atom

Entry 11:
VASP calculation (PBE-GGA) on crystalline SmErMgZr at its relaxed geometry.

Cell and atoms, written as extended XYZ:
```
4
Lattice="5.3661 0.0000 0.0000 2.6831 4.6472 0.0000 2.6831 1.5491 4.3814" Properties=species:S:1:pos:R:3 pbc="T T T"
Zr 5.3661 3.0981 2.1907
Er 8.0492 4.6472 3.2861
Mg 0.0000 0.0000 0.0000
Sm 2.6831 1.5491 1.0954
```

* energy of formation from the pure elements: 0.133 eV/atom
* VASP energy: -4.724 eV per atom

Entry 12:
VASP calculation (PBE-GGA) on crystalline Er2MgSn4 at its relaxed geometry.

Cell and atoms, written as extended XYZ:
```
7
Lattice="-4.2908 -0.2293 0.7685 0.7893 -1.9480 3.8257 0.3242 8.9056 4.4678" Properties=species:S:1:pos:R:3 pbc="T T T"
Sn -2.0827 1.6071 1.2480
Sn 0.1621 4.4528 2.2339
Sn -1.5886 3.3641 4.5310
Sn 0.6562 6.2098 5.5169
Er -1.9030 6.5445 3.7251
Er 0.4764 1.2724 3.0399
Mg -1.7507 -1.0887 2.2971
```

* energy of formation from the pure elements: -0.330 eV/atom
* VASP energy: -4.149 eV per atom

Entry 13:
VASP calculation (PBE-GGA) on crystalline ErMg2Sn2 at its relaxed geometry.

Cell and atoms, written as extended XYZ:
```
10
Lattice="-1.4408 -4.6774 0.8420 4.7615 0.9884 -1.0070 2.3006 1.5177 12.3676" Properties=species:S:1:pos:R:3 pbc="T T T"
Sn 0.9153 -2.5984 1.7774
Sn 4.7060 0.4271 10.4252
Sn 4.1330 0.0491 7.3448
Sn 1.4883 -2.2204 4.8577
Er 1.7254 1.1382 9.2757
Er 0.5751 0.3794 3.0919
Mg 0.0000 0.0000 0.0000
Mg 2.3521 -1.6506 9.5013
Mg 1.1503 0.7588 6.1838
Mg 3.2692 -0.5208 2.7012
```

* energy of formation from the pure elements: -0.061 eV/atom
* VASP energy: -3.213 eV per atom

Entry 14:
VASP calculation (PBE-GGA) on crystalline ErMgSn3 at its relaxed geometry.

Cell and atoms, written as extended XYZ:
```
20
Lattice="6.2707 0.0000 0.0000 0.0000 6.1727 0.0000 0.0000 0.0000 13.0554" Properties=species:S:1:pos:R:3 pbc="T T T"
Er 1.5677 6.1500 8.9757
Er 4.7030 0.0227 4.0797
Er 1.5677 3.0637 4.0797
Er 4.7030 3.1090 8.9757
Sn 1.5677 6.1361 3.5462
Sn 4.7030 1.8652 11.9606
Sn 1.5677 4.3075 1.0948
Sn 4.7030 0.0366 9.5091
Sn 3.1353 1.5432 6.5344
Sn 4.7030 3.1230 3.5462
Sn 0.0000 1.5432 6.5344
Sn 1.5677 1.2211 11.9606
Sn 4.7030 4.9516 1.0948
Sn 3.1353 4.6295 6.5210
Sn 1.5677 3.0497 9.5091
Sn 0.0000 4.6295 6.5210
Mg 3.1353 4.6295 11.5767
Mg 3.1353 1.5432 1.4787
Mg 0.0000 4.6295 11.5767
Mg 0.0000 1.5432 1.4787
```

* energy of formation from the pure elements: -0.366 eV/atom
* VASP energy: -3.999 eV per atom

Entry 15:
VASP calculation (PBE-GGA) on crystalline ErMg2Sn2 at its relaxed geometry.

Cell and atoms, written as extended XYZ:
```
10
Lattice="4.4046 0.0000 0.0000 0.0000 4.4374 0.0000 -2.2023 0.0000 12.4201" Properties=species:S:1:pos:R:3 pbc="T T T"
Sn 2.2023 3.3280 9.2292
Sn 0.0000 1.1093 3.1909
Sn 0.0000 3.3280 6.2239
Sn 2.2023 1.1093 6.1962
Er 0.0000 1.1093 8.6369
Er 2.2023 3.3280 3.7832
Mg 0.0000 3.3280 1.1543
Mg 2.2023 1.1093 11.2658
Mg 0.0000 3.3280 11.2856
Mg 2.2023 1.1093 1.1345
```

* energy of formation from the pure elements: -0.364 eV/atom
* VASP energy: -3.515 eV per atom

Entry 16:
VASP calculation (PBE-GGA) on crystalline ErMg5Sn6 at its relaxed geometry.

Cell and atoms, written as extended XYZ:
```
12
Lattice="-5.1243 0.7995 3.6757 1.0979 -6.9820 6.2271 3.2119 -0.3672 6.1465" Properties=species:S:1:pos:R:3 pbc="T T T"
Sn -1.2014 -2.6172 9.4201
Sn -3.0246 -4.6090 7.4027
Sn -2.6034 -0.1268 5.3351
Sn 1.7889 -6.4229 10.7142
Sn 0.3870 -3.9325 6.6292
Sn -1.0018 -1.5734 2.5002
Mg -0.2223 -0.9904 6.9911
Mg 1.4196 -2.4697 4.1052
Mg -0.5922 -5.5593 9.0582
Mg 2.8902 -4.8795 8.2684
Mg -2.0132 -3.0912 4.9514
Er 0.0000 0.0000 0.0000
```

* energy of formation from the pure elements: -0.184 eV/atom
* VASP energy: -3.230 eV per atom

Entry 17:
VASP calculation (PBE-GGA) on crystalline ErMg4Sn2 at its relaxed geometry.

Cell and atoms, written as extended XYZ:
```
14
Lattice="-1.9543 -4.1146 0.3117 7.7203 -3.5457 1.5998 -1.1997 1.2117 8.4750" Properties=species:S:1:pos:R:3 pbc="T T T"
Sn 3.5238 -3.6684 7.1102
Sn 1.0425 -2.7802 3.2763
Sn 6.0231 -2.6405 2.9079
Sn 0.4975 0.3066 7.1669
Mg 3.5025 -4.0195 2.3406
Mg 1.0638 -2.4291 8.0459
Mg 3.8955 -1.1962 8.6356
Mg 6.1553 -2.4014 6.8938
Mg 2.6250 -1.1378 1.4392
Mg 0.3653 0.0675 3.1810
Mg 5.1544 -4.6108 4.8930
Mg -0.5881 -1.8378 5.4935
Er -0.9772 -2.0573 0.1558
Er 3.2603 -1.1670 5.0374
```

* energy of formation from the pure elements: -0.239 eV/atom
* VASP energy: -2.946 eV per atom

Entry 18:
VASP calculation (PBE-GGA) on crystalline ErMg2Sn4 at its relaxed geometry.

Cell and atoms, written as extended XYZ:
```
7
Lattice="-4.1884 1.1300 1.0859 -1.6671 -0.2167 -6.2047 -1.4883 -6.2117 0.7236" Properties=species:S:1:pos:R:3 pbc="T T T"
Mg -1.5265 -4.9293 -0.7585
Mg -1.6288 -1.4992 -4.7226
Sn -0.7950 -1.6197 -1.3810
Sn -2.3603 -4.8087 -4.1000
Sn -2.9278 0.4566 -2.5594
Sn -2.8383 -2.5409 0.9048
Er -3.6719 -2.6492 -2.1976
```

* energy of formation from the pure elements: -0.271 eV/atom
* VASP energy: -3.665 eV per atom

Entry 19:
VASP calculation (PBE-GGA) on crystalline Er2Mg2Sn7 at its relaxed geometry.

Cell and atoms, written as extended XYZ:
```
11
Lattice="7.8014 -1.5065 -0.4143 -1.3797 5.3056 1.3009 -0.8983 1.5002 7.7618" Properties=species:S:1:pos:R:3 pbc="T T T"
Mg 4.1648 4.5676 3.0076
Mg 1.3586 0.7317 5.6407
Sn 2.4630 4.8352 7.9497
Sn 6.3969 0.4610 4.2499
Sn 3.5856 1.6314 3.5493
Sn 3.0604 0.4641 0.6986
Sn -0.8735 4.8383 4.3984
Sn 0.0000 0.0000 0.0000
Sn 1.9378 3.6679 5.0991
Er 0.6736 2.6516 2.1016
Er 4.8498 2.6477 6.5467
```

* energy of formation from the pure elements: -0.184 eV/atom
* VASP energy: -3.851 eV per atom

Entry 20:
VASP calculation (PBE-GGA) on crystalline Er2MgSn9 at its relaxed geometry.

Cell and atoms, written as extended XYZ:
```
12
Lattice="4.6176 0.0000 0.0000 0.0000 4.6176 0.0000 0.0000 0.0000 14.6157" Properties=species:S:1:pos:R:3 pbc="T T T"
Er 0.0000 0.0000 4.9576
Er 0.0000 0.0000 9.6581
Sn 2.3088 2.3088 9.7919
Sn 2.3088 0.0000 12.2016
Sn 2.3088 2.3088 4.8238
Sn 0.0000 2.3088 12.2016
Sn 2.3088 0.0000 7.3078
Sn 2.3088 2.3088 0.0000
Sn 0.0000 2.3088 7.3078
Sn 2.3088 0.0000 2.4141
Sn 0.0000 2.3088 2.4141
Mg 0.0000 0.0000 0.0000
```

* energy of formation from the pure elements: -0.270 eV/atom
* VASP energy: -4.166 eV per atom

Entry 21:
VASP calculation (PBE-GGA) on crystalline Er2MgSn3 at its relaxed geometry.

Cell and atoms, written as extended XYZ:
```
12
Lattice="5.9245 0.0000 0.0000 0.0000 7.9342 -0.2777 0.0000 -2.8674 7.4032" Properties=species:S:1:pos:R:3 pbc="T T T"
Mg 1.4811 0.4536 0.6380
Mg 4.4433 4.6131 6.4875
Sn 1.4811 2.1133 2.9719
Sn 0.0000 -0.8455 5.9654
Sn 2.9622 5.9123 1.1601
Sn 2.9622 -0.8455 5.9654
Sn 4.4433 2.9535 4.1535
Sn 0.0000 5.9123 1.1601
Er 4.4433 3.1667 1.0529
Er 4.4433 -0.0452 3.3368
Er 1.4811 5.1120 3.7886
Er 1.4811 1.9001 6.0725
```

* energy of formation from the pure elements: -0.294 eV/atom
* VASP energy: -4.082 eV per atom

no.,mass density (kg/m3)
1,8183
2,7300
3,6990
4,5991
5,5968
6,6928
7,5852
8,6606
9,4553
10,4442
11,6583
12,7288
13,5562
14,7199
15,6202
16,5546
17,4885
18,6207
19,6939
20,7605
21,6917